DFT (PBE-GGA) results for a relaxed KNdI2 crystal.

a b c (Å): 11.8066 11.8066 11.8066
angles (deg): 20.46 20.46 20.46
Closest atoms and distances in Å follow each position.
Sites, in units of the cell vectors:
K  0.0000  0.0000  0.0000  2 I 3.64
Nd  0.5000  0.5000  0.5000  6 I 3.23
I  0.1050  0.1050  0.1050  3 Nd 3.23
I  0.8950  0.8950  0.8950  3 Nd 3.23

Values from the calculation:
magnetic moment	0.00	μB per cell
uncorrected energy	-3.21	eV per atom
uncorrected formation energy	-0.97	eV per atom